VS after structural relaxation, computed with GGA-PBEsol.

* DOS at the Fermi energy: 6.92 states/eV/cell
* formation energy without anion corrections: -100.2 kJ/mol of atoms

a b c (Å): 5.7629 3.1523 5.7206
angles (deg): 90.00 90.00 90.00
Last column: nearest neighbours and their distance in Å.
Fractional coordinates of all 8 atoms:
V 0.0111 0.2500 0.1973  6 S 2.30-2.47
V 0.4889 0.7500 0.6973  6 S 2.30-2.47
V 0.5111 0.2500 0.3027  6 S 2.30-2.47
V 0.9889 0.7500 0.8027  6 S 2.30-2.47
S 0.2169 0.2500 0.5755  6 V 2.30-2.47
S 0.2831 0.7500 0.0755  6 V 2.30-2.47
S 0.7169 0.2500 0.9245  6 V 2.30-2.47
S 0.7831 0.7500 0.4245  6 V 2.30-2.47